# GdErPt

A geometry-optimized GdErPt structure (GGA-PBE, Alexandria).

## Properties
- DFT formation energy (eV per atom) = -0.68
- D(E_F) (states/eV/f.u.) = 3.11
- M_tot (μB/f.u.) = 7.36
- V (Å³ per atom) = 26.094
- E_tot (eV/atom) = -8.907

Cell and atoms, written as POSCAR:
```
GdErPt
1.0
4.609 0.000 0.000
-2.304 3.991 0.000
0.000 0.000 4.256
Gd Er Pt
1 1 1
Direct
0.000 0.000 0.000
0.333 0.667 0.486
0.667 0.333 0.705
```